[1]
First-principles (PBE) data for a geometry-optimized InPtCl2 structure, as listed in the Alexandria database.

## Properties
- E_form (uncorrected) (eV/atom) = -0.06
- space group = No. 69

a = 4.9019 Å, b = 4.9019 Å, c = 4.8702 Å
α = 67.05°, β = 67.05°, γ = 102.97°
Last column: nearest neighbours and their distance in Å.
Atoms (fractional coordinates):
Cl: 0.0000 0.0000 0.0000  2 Pt 2.70, 2 In 2.70
Cl: 0.5000 0.5000 0.0000  2 In 2.70, 2 Pt 2.70
Pt: 0.0000 0.5000 0.5000  4 Cl 2.70
In: 0.5000 0.0000 0.5000  4 Cl 2.70

=====

[2]
First-principles (PBE) data for a geometry-optimized Mn2CdIr structure, as listed in the Alexandria database.

## Properties
- calculated formation energy (eV/atom) = 0.2056
- space group = No. 160

a = 9.0328 Å, b = 9.0328 Å, c = 9.0328 Å
α = 17.83°, β = 17.83°, γ = 17.83°
Last column: nearest neighbours and their distance in Å.
Atoms (fractional coordinates):
Cd: 0.5012 0.5012 0.5012  6 Cd 2.80, 3 Mn 2.92, 3 Ir 2.96
Ir: 0.7415 0.7415 0.7415  3 Mn 2.61, 6 Ir 2.80
Mn: 0.9980 0.9980 0.9980  9 Mn 2.51-2.80, 3 Ir 2.61
Mn: 0.2593 0.2593 0.2593  9 Mn 2.51-2.80

=====

[3]
First-principles (PBE) data for a geometry-optimized Ac4Ge3Os structure, as listed in the Alexandria database.

## Properties
- calculated formation energy (eV/atom) = -0.4905
- space group = No. 25

a = 4.6742 Å, b = 4.2998 Å, c = 11.6102 Å
α = 90.00°, β = 90.00°, γ = 90.00°
Last column: nearest neighbours and their distance in Å.
Atoms (fractional coordinates):
Ac: 0.5000 0.5000 0.3478  1 Os 3.30, 6 Ge 3.31-3.50
Ac: 0.0000 0.5000 0.8681  2 Os 3.26, 5 Ge 3.29-3.44
Ac: 0.0000 0.0000 0.1363  3 Ge 3.26-3.39, 4 Os 3.29
Ac: 0.5000 0.0000 0.6433  7 Ge 3.28-3.45
Ge: 0.0000 0.5000 0.5717  2 Ge 2.72
Ge: 0.0000 0.0000 0.4287  2 Ge 2.72
Ge: 0.5000 0.0000 0.9406  2 Os 2.58
Os: 0.5000 0.5000 0.0635  2 Ge 2.58

=====

no.,total moment (μB/f.u.),E (Ry/atom)
1,0.00,-0.234
2,0.23,-0.501
3,0.16,-0.417